(A)
A plane-wave DFT calculation with PBE-GGA was carried out for an optimized crystal structure of CrCo3.

abc: 4.462 4.462 4.462
angles: 90.00 90.00 90.00
Element x y z (fractional)
Cr 0.000 0.000 0.000
Cr 0.500 0.500 0.500
Co 0.750 0.500 0.000
Co 0.500 0.000 0.750
Co 0.000 0.250 0.500
Co 0.000 0.750 0.500
Co 0.250 0.500 0.000
Co 0.500 0.000 0.250

Properties
As for the space-group type: Pm-3n, No. 223. The density of states at the Fermi level comes out at 8.05 states/eV/cell.


(B)
A plane-wave DFT calculation with PBE-GGA was carried out for an optimized crystal structure of CrCo3.

abc: 2.478 2.478 7.106
angles: 90.00 90.00 90.00
Element x y z (fractional)
Co 0.000 0.000 0.503
Co 0.000 0.000 0.997
Co 0.500 0.500 0.750
Cr 0.500 0.500 0.250

Properties
As for the space-group type: P4/mmm, No. 123. The density of states at the Fermi level comes out at 6.18 states/eV/cell.


Most stable pick: (B). Distance to second place: 5.3 kJ/mol of atoms.